*A*
Here is a relaxed structure of DyMn3Ge3 from the Alexandria database. Energies are from PBE.

Computed properties:
**Space-group type**: No. 223
**N(E_F)**: 1.52 states/eV per atom
**V**: 20.92 Å³ per atom

Cell and atoms, written as POSCAR:
```
DyMn3Ge3
1.0
6.641 0.000 0.000
0.000 6.641 0.000
0.000 0.000 6.641
Dy Mn Ge
2 6 6
direct
0.000 0.000 0.000 Dy
0.500 0.500 0.500 Dy
0.000 0.250 0.500 Mn
0.000 0.750 0.500 Mn
0.250 0.500 0.000 Mn
0.500 0.000 0.250 Mn
0.500 0.000 0.750 Mn
0.750 0.500 0.000 Mn
0.000 0.500 0.250 Ge
0.000 0.500 0.750 Ge
0.250 0.000 0.500 Ge
0.500 0.250 0.000 Ge
0.500 0.750 0.000 Ge
0.750 0.000 0.500 Ge
```

***

*B*
Here is a relaxed structure of DyMn3Ge3 from the Alexandria database. Energies are from PBE.

Computed properties:
**Space-group type**: No. 225
**N(E_F)**: 0.86 states/eV per atom
**V**: 25.23 Å³ per atom

Cell and atoms, written as POSCAR:
```
DyMn3Ge3
1.0
0.000 5.610 5.610
5.610 0.000 5.610
5.610 5.610 0.000
Dy Mn Ge
2 6 6
direct
0.250 0.250 0.250 Dy
0.750 0.750 0.750 Dy
0.139 0.139 0.861 Mn
0.139 0.861 0.139 Mn
0.139 0.861 0.861 Mn
0.861 0.139 0.139 Mn
0.861 0.139 0.861 Mn
0.861 0.861 0.139 Mn
0.338 0.338 0.662 Ge
0.338 0.662 0.338 Ge
0.338 0.662 0.662 Ge
0.662 0.338 0.338 Ge
0.662 0.338 0.662 Ge
0.662 0.662 0.338 Ge
```

***

Of them, *B* has the lowest stability.

***

*A*
Here is a relaxed structure of DyGeN from the Alexandria database. Energies are from PBE.

Computed properties:
**Space-group type**: No. 139
**N(E_F)**: 0.37 states/eV per atom
**V**: 18.68 Å³ per atom

Cell and atoms, written as POSCAR:
```
DyGeN
1.0
-1.723 1.723 9.442
1.723 -1.723 9.442
1.723 1.723 -9.442
Dy Ge N
2 2 2
direct
0.185 0.185 0.000 Dy
0.815 0.815 0.000 Dy
0.418 0.418 0.000 Ge
0.582 0.582 0.000 Ge
0.308 0.308 0.000 N
0.692 0.692 0.000 N
```

***

*B*
Here is a relaxed structure of DyGeN from the Alexandria database. Energies are from PBE.

Computed properties:
**Space-group type**: No. 11
**N(E_F)**: 0.14 states/eV per atom
**V**: 17.64 Å³ per atom

Cell and atoms, written as POSCAR:
```
DyGeN
1.0
4.974 0.000 0.000
0.000 3.988 0.000
-0.971 0.000 5.337
Dy Ge N
2 2 2
direct
0.221 0.250 0.366 Dy
0.779 0.750 0.634 Dy
0.334 0.750 0.953 Ge
0.666 0.250 0.047 Ge
0.263 0.750 0.587 N
0.737 0.250 0.413 N
```

***

Of them, *A* has the lowest stability.

***

*A*
Here is a relaxed structure of Dy4Ge2N from the Alexandria database. Energies are from PBE.

Computed properties:
**Space-group type**: No. 139
**N(E_F)**: 0.66 states/eV per atom
**V**: 23.01 Å³ per atom

Cell and atoms, written as POSCAR:
```
Dy4Ge2N
1.0
-2.298 2.298 7.624
2.298 -2.298 7.624
2.298 2.298 -7.624
Dy Ge N
4 2 1
direct
0.000 0.500 0.500 Dy
0.169 0.169 0.000 Dy
0.500 0.000 0.500 Dy
0.831 0.831 0.000 Dy
0.362 0.362 0.000 Ge
0.638 0.638 0.000 Ge
0.000 0.000 0.000 N
```

***

*B*
Here is a relaxed structure of Dy4Ge2N from the Alexandria database. Energies are from PBE.

Computed properties:
**Space-group type**: No. 12
**N(E_F)**: 0.73 states/eV per atom
**V**: 21.75 Å³ per atom

Cell and atoms, written as POSCAR:
```
Dy4Ge2N
1.0
5.912 -1.940 0.000
5.912 1.940 0.000
-4.748 0.000 6.637
Dy Ge N
4 2 1
direct
0.081 0.081 0.346 Dy
0.344 0.344 0.925 Dy
0.656 0.656 0.075 Dy
0.919 0.919 0.654 Dy
0.381 0.381 0.329 Ge
0.619 0.619 0.671 Ge
0.000 0.000 0.000 N
```

***

Of them, *B* has the lowest stability.

***

*A*
Here is a relaxed structure of Dy2Nb3Ge4 from the Alexandria database. Energies are from PBE.

Computed properties:
**Space-group type**: No. 14
**N(E_F)**: 0.51 states/eV per atom
**V**: 19.05 Å³ per atom

Cell and atoms, written as POSCAR:
```
Dy2Nb3Ge4
1.0
7.182 0.000 0.000
0.000 7.182 0.000
-2.342 0.000 6.647
Dy Nb Ge
4 6 8
direct
0.187 0.171 0.059 Dy
0.187 0.329 0.559 Dy
0.813 0.671 0.441 Dy
0.813 0.829 0.941 Dy
0.255 0.675 0.247 Nb
0.255 0.825 0.747 Nb
0.500 0.000 0.500 Nb
0.500 0.500 0.000 Nb
0.745 0.175 0.253 Nb
0.745 0.325 0.753 Nb
0.085 0.537 0.857 Ge
0.085 0.963 0.357 Ge
0.491 0.131 0.866 Ge
0.491 0.369 0.366 Ge
0.509 0.631 0.634 Ge
0.509 0.869 0.134 Ge
0.915 0.037 0.643 Ge
0.915 0.463 0.143 Ge
```

***

*B*
Here is a relaxed structure of Dy2Nb3Ge4 from the Alexandria database. Energies are from PBE.

Computed properties:
**Space-group type**: No. 62
**N(E_F)**: 0.43 states/eV per atom
**V**: 19.08 Å³ per atom

Cell and atoms, written as POSCAR:
```
Dy2Nb3Ge4
1.0
7.021 0.000 0.000
0.000 13.584 0.000
0.000 0.000 7.200
Dy Nb Ge
8 12 16
direct
0.003 0.095 0.174 Dy
0.003 0.405 0.174 Dy
0.497 0.595 0.674 Dy
0.497 0.905 0.674 Dy
0.503 0.095 0.326 Dy
0.503 0.405 0.326 Dy
0.997 0.595 0.826 Dy
0.997 0.905 0.826 Dy
0.159 0.627 0.329 Nb
0.159 0.873 0.329 Nb
0.165 0.250 0.512 Nb
0.335 0.750 0.012 Nb
0.341 0.127 0.829 Nb
0.341 0.373 0.829 Nb
0.659 0.627 0.171 Nb
0.659 0.873 0.171 Nb
0.665 0.250 0.988 Nb
0.835 0.750 0.488 Nb
0.841 0.127 0.671 Nb
0.841 0.373 0.671 Nb
0.040 0.250 0.879 Ge
0.175 0.042 0.539 Ge
0.175 0.458 0.539 Ge
0.194 0.750 0.638 Ge
0.306 0.250 0.138 Ge
0.325 0.542 0.039 Ge
0.325 0.958 0.039 Ge
0.460 0.750 0.379 Ge
0.540 0.250 0.621 Ge
0.675 0.042 0.961 Ge
0.675 0.458 0.961 Ge
0.694 0.750 0.862 Ge
0.806 0.250 0.362 Ge
0.825 0.542 0.461 Ge
0.825 0.958 0.461 Ge
0.960 0.750 0.121 Ge
```

***

Of them, *A* has the lowest stability.

***

*A*
Here is a relaxed structure of NdDy2Ge from the Alexandria database. Energies are from PBE.

Computed properties:
**Space-group type**: No. 160
**N(E_F)**: 1.41 states/eV per atom
**V**: 30.22 Å³ per atom

Cell and atoms, written as POSCAR:
```
NdDy2Ge
1.0
1.891 1.092 9.757
-1.891 1.092 9.757
0.000 -2.184 9.757
Nd Dy Ge
1 2 1
direct
0.000 0.000 0.000 Nd
0.232 0.232 0.232 Dy
0.437 0.437 0.437 Dy
0.835 0.835 0.835 Ge
```

***

*B*
Here is a relaxed structure of NdDy2Ge from the Alexandria database. Energies are from PBE.

Computed properties:
**Space-group type**: No. 123
**N(E_F)**: 1.27 states/eV per atom
**V**: 26.29 Å³ per atom

Cell and atoms, written as POSCAR:
```
NdDy2Ge
1.0
4.729 0.000 0.000
0.000 4.729 0.000
0.000 0.000 4.702
Nd Dy Ge
1 2 1
direct
0.000 0.000 0.000 Nd
0.000 0.500 0.500 Dy
0.500 0.000 0.500 Dy
0.500 0.500 0.000 Ge
```

***

*C*
Here is a relaxed structure of NdDy2Ge from the Alexandria database. Energies are from PBE.

Computed properties:
**Space-group type**: No. 166
**N(E_F)**: 1.25 states/eV per atom
**V**: 29.91 Å³ per atom

Cell and atoms, written as POSCAR:
```
NdDy2Ge
1.0
1.865 1.077 9.927
-1.865 1.077 9.927
0.000 -2.154 9.927
Nd Dy Ge
1 2 1
direct
0.000 0.000 0.000 Nd
0.232 0.232 0.232 Dy
0.768 0.768 0.768 Dy
0.500 0.500 0.500 Ge
```

***

Of them, *C* has the lowest stability.

***

*A*
Here is a relaxed structure of NdDyGe from the Alexandria database. Energies are from PBE.

Computed properties:
**Space-group type**: No. 216
**N(E_F)**: 0.87 states/eV per atom
**V**: 29.06 Å³ per atom

Cell and atoms, written as POSCAR:
```
NdDyGe
1.0
0.000 3.519 3.519
3.519 0.000 3.519
3.519 3.519 0.000
Nd Dy Ge
1 1 1
direct
0.000 0.000 0.000 Nd
0.500 0.500 0.500 Dy
0.250 0.250 0.250 Ge
```

***

*B*
Here is a relaxed structure of NdDyGe from the Alexandria database. Energies are from PBE.

Computed properties:
**Space-group type**: No. 187
**N(E_F)**: 0.76 states/eV per atom
**V**: 30.90 Å³ per atom

Cell and atoms, written as POSCAR:
```
NdDyGe
1.0
4.311 0.000 0.000
-2.156 3.734 0.000
0.000 0.000 11.519
Nd Dy Ge
2 2 2
direct
0.000 0.000 0.229 Nd
0.000 0.000 0.771 Nd
0.333 0.667 0.000 Dy
0.667 0.333 0.500 Dy
0.333 0.667 0.360 Ge
0.333 0.667 0.640 Ge
```

***

Of them, *B* has the lowest stability.